# TbTmPu2As4, relaxed, DFT PBE
data_TbTmPu2As4
_space_group_name_H-M_alt 'P 1'
_space_group_IT_number 1
_cell_length_a 4.1264
_cell_length_b 7.1438
_cell_length_c 7.0993
_cell_angle_alpha 109.60
_cell_angle_beta 90.00
_cell_angle_gamma 90.00
loop_
_space_group_symop_operation_xyz
'x,y,z'
loop_
_atom_site_label
_atom_site_type_symbol
_atom_site_fract_x
_atom_site_fract_y
_atom_site_fract_z
_atom_site_occupancy
Pu1 Pu 0.5000 0.0000 0.5000 1
Pu2 Pu 0.0000 0.5000 0.5000 1
Tb1 Tb 0.0000 0.0000 0.0000 1
As1 As 0.0000 0.7478 0.2502 1
As2 As 0.5000 0.7470 0.7480 1
As3 As 0.0000 0.2522 0.7498 1
As4 As 0.5000 0.2530 0.2520 1
Tm1 Tm 0.5000 0.5000 0.0000 1
# ΔE_f ... -122.5 kJ per mole of atoms
# Space-group type ... P2/m

---

# EuTmGe2, relaxed, DFT PBE
data_EuTmGe2
_space_group_name_H-M_alt 'P 1'
_space_group_IT_number 1
_cell_length_a 3.3470
_cell_length_b 5.3009
_cell_length_c 5.3009
_cell_angle_alpha 90.00
_cell_angle_beta 90.00
_cell_angle_gamma 90.00
loop_
_space_group_symop_operation_xyz
'x,y,z'
loop_
_atom_site_label
_atom_site_type_symbol
_atom_site_fract_x
_atom_site_fract_y
_atom_site_fract_z
_atom_site_occupancy
Tm1 Tm 0.5000 0.5000 0.5000 1
Eu1 Eu 0.5000 0.0000 0.0000 1
Ge1 Ge 0.0000 0.5000 0.0000 1
Ge2 Ge 0.0000 0.0000 0.5000 1
# ΔE_f ... -51.6 kJ per mole of atoms
# Space-group type ... P4/mmm

---

# LuScCdBi, relaxed, DFT PBE
data_LuScCdBi
_space_group_name_H-M_alt 'P 1'
_space_group_IT_number 1
_cell_length_a 5.2382
_cell_length_b 5.2382
_cell_length_c 5.2382
_cell_angle_alpha 60.00
_cell_angle_beta 60.00
_cell_angle_gamma 60.00
loop_
_space_group_symop_operation_xyz
'x,y,z'
loop_
_atom_site_label
_atom_site_type_symbol
_atom_site_fract_x
_atom_site_fract_y
_atom_site_fract_z
_atom_site_occupancy
Bi1 Bi 0.7500 0.7500 0.7500 1
Lu1 Lu 0.5000 0.5000 0.5000 1
Cd1 Cd 0.2500 0.2500 0.2500 1
Sc1 Sc 0.0000 0.0000 0.0000 1
# ΔE_f ... -29.0 kJ per mole of atoms
# Space-group type ... F-43m

---

# Ru2PbW, relaxed, DFT PBE
data_Ru2PbW
_space_group_name_H-M_alt 'P 1'
_space_group_IT_number 1
_cell_length_a 4.7701
_cell_length_b 4.7701
_cell_length_c 5.1580
_cell_angle_alpha 79.18
_cell_angle_beta 79.18
_cell_angle_gamma 36.83
loop_
_space_group_symop_operation_xyz
'x,y,z'
loop_
_atom_site_label
_atom_site_type_symbol
_atom_site_fract_x
_atom_site_fract_y
_atom_site_fract_z
_atom_site_occupancy
Ru1 Ru 0.0127 0.0127 0.9553 1
Ru2 Ru 0.4873 0.4873 0.5447 1
Pb1 Pb 0.2500 0.2500 0.2500 1
W1 W 0.7500 0.7500 0.7500 1
# ΔE_f ... 51.3 kJ per mole of atoms
# Space-group type ... C2/m

---

# Y2Zr2Sn, relaxed, DFT PBE
data_Y2Zr2Sn
_space_group_name_H-M_alt 'P 1'
_space_group_IT_number 1
_cell_length_a 7.6761
_cell_length_b 7.6761
_cell_length_c 4.5687
_cell_angle_alpha 90.00
_cell_angle_beta 90.00
_cell_angle_gamma 90.00
loop_
_space_group_symop_operation_xyz
'x,y,z'
loop_
_atom_site_label
_atom_site_type_symbol
_atom_site_fract_x
_atom_site_fract_y
_atom_site_fract_z
_atom_site_occupancy
Y1 Y 0.8369 0.3369 0.5000 1
Y2 Y 0.6631 0.8369 0.5000 1
Y3 Y 0.3369 0.1631 0.5000 1
Y4 Y 0.1631 0.6631 0.5000 1
Zr1 Zr 0.1382 0.3618 0.0000 1
Zr2 Zr 0.8618 0.6382 0.0000 1
Zr3 Zr 0.3618 0.8618 0.0000 1
Zr4 Zr 0.6382 0.1382 0.0000 1
Sn1 Sn 0.5000 0.5000 0.0000 1
Sn2 Sn 0.0000 0.0000 0.0000 1
# ΔE_f ... -13.8 kJ per mole of atoms
# Space-group type ... P4/mbm

---

# LaTlPtRh, relaxed, DFT PBE
data_LaTlPtRh
_space_group_name_H-M_alt 'P 1'
_space_group_IT_number 1
_cell_length_a 4.9427
_cell_length_b 4.9427
_cell_length_c 4.9427
_cell_angle_alpha 60.00
_cell_angle_beta 60.00
_cell_angle_gamma 60.00
loop_
_space_group_symop_operation_xyz
'x,y,z'
loop_
_atom_site_label
_atom_site_type_symbol
_atom_site_fract_x
_atom_site_fract_y
_atom_site_fract_z
_atom_site_occupancy
Rh1 Rh 0.5000 0.5000 0.5000 1
Pt1 Pt 0.0000 0.0000 0.0000 1
La1 La 0.2500 0.2500 0.2500 1
Tl1 Tl 0.7500 0.7500 0.7500 1
# ΔE_f ... -48.8 kJ per mole of atoms
# Space-group type ... F-43m

---

# RbHfMg14O15, relaxed, DFT PBE
data_RbHfMg14O15
_space_group_name_H-M_alt 'P 1'
_space_group_IT_number 1
_cell_length_a 4.1660
_cell_length_b 7.8054
_cell_length_c 12.5486
_cell_angle_alpha 90.00
_cell_angle_beta 90.00
_cell_angle_gamma 90.00
loop_
_space_group_symop_operation_xyz
'x,y,z'
loop_
_atom_site_label
_atom_site_type_symbol
_atom_site_fract_x
_atom_site_fract_y
_atom_site_fract_z
_atom_site_occupancy
O1 O 0.0000 0.2608 0.5210 1
O2 O 0.5000 0.5000 0.4586 1
O3 O 0.0000 0.3088 0.0655 1
O4 O 0.0000 0.5000 0.7890 1
O5 O 0.0000 0.5000 0.2986 1
O6 O 0.5000 0.0000 0.0789 1
O7 O 0.5000 0.2757 0.6867 1
O8 O 0.5000 0.0000 0.5067 1
O9 O 0.0000 0.7392 0.5210 1
O10 O 0.5000 0.2629 0.2351 1
O11 O 0.0000 0.6912 0.0655 1
O12 O 0.0000 0.0000 0.2965 1
O13 O 0.5000 0.7371 0.2351 1
O14 O 0.5000 0.5000 0.9486 1
O15 O 0.5000 0.7243 0.6867 1
Mg1 Mg 0.5000 0.2476 0.0743 1
Mg2 Mg 0.0000 0.2594 0.2375 1
Mg3 Mg 0.0000 0.0000 0.4669 1
Mg4 Mg 0.0000 0.7377 0.6875 1
Mg5 Mg 0.5000 0.7524 0.0743 1
Mg6 Mg 0.5000 0.2631 0.5217 1
Mg7 Mg 0.5000 0.0000 0.6793 1
Mg8 Mg 0.0000 0.5000 0.4578 1
Mg9 Mg 0.5000 0.0000 0.2460 1
Mg10 Mg 0.5000 0.5000 0.7706 1
Mg11 Mg 0.0000 0.2623 0.6875 1
Mg12 Mg 0.5000 0.7369 0.5217 1
Mg13 Mg 0.0000 0.7406 0.2375 1
Mg14 Mg 0.5000 0.5000 0.2987 1
Rb1 Rb 0.0000 0.0000 0.9360 1
Hf1 Hf 0.0000 0.5000 0.9591 1
# ΔE_f (raw) ... -2.42 eV/atom
# Space-group type ... Pmm2

---

# Zn5Ga2Au, relaxed, DFT PBE
data_Zn5Ga2Au
_space_group_name_H-M_alt 'P 1'
_space_group_IT_number 1
_cell_length_a 6.7030
_cell_length_b 6.6933
_cell_length_c 5.1851
_cell_angle_alpha 125.68
_cell_angle_beta 125.58
_cell_angle_gamma 87.59
loop_
_space_group_symop_operation_xyz
'x,y,z'
loop_
_atom_site_label
_atom_site_type_symbol
_atom_site_fract_x
_atom_site_fract_y
_atom_site_fract_z
_atom_site_occupancy
Zn1 Zn 0.3633 0.8597 0.0923 1
Zn2 Zn 0.8613 0.3651 0.0953 1
Zn3 Zn 0.6305 0.6308 0.3679 1
Zn4 Zn 0.1739 0.1742 0.9335 1
Zn5 Zn 0.6198 0.6195 0.8598 1
Au1 Au 0.0713 0.0713 0.2773 1
Ga1 Ga 0.2796 0.7782 0.4646 1
Ga2 Ga 0.7773 0.2782 0.4634 1
# ΔE_f ... -3.1 kJ per mole of atoms
# Space-group type ... P1

---

# MnSbTe2Pt, relaxed, DFT PBE
data_MnSbTe2Pt
_space_group_name_H-M_alt 'P 1'
_space_group_IT_number 1
_cell_length_a 5.4946
_cell_length_b 5.4946
_cell_length_c 5.0358
_cell_angle_alpha 90.00
_cell_angle_beta 90.00
_cell_angle_gamma 90.00
loop_
_space_group_symop_operation_xyz
'x,y,z'
loop_
_atom_site_label
_atom_site_type_symbol
_atom_site_fract_x
_atom_site_fract_y
_atom_site_fract_z
_atom_site_occupancy
Sb1 Sb 0.0000 0.0000 0.5000 1
Pt1 Pt 0.0000 0.0000 0.0000 1
Te1 Te 0.0000 0.5000 0.0000 1
Te2 Te 0.5000 0.0000 0.0000 1
Mn1 Mn 0.5000 0.5000 0.5000 1
# ΔE_f (raw) ... 0.59 eV/atom
# Space-group type ... P4/mmm

---

# Tb3Al4Ga4, relaxed, DFT PBE
data_Tb3Al4Ga4
_space_group_name_H-M_alt 'P 1'
_space_group_IT_number 1
_cell_length_a 4.2362
_cell_length_b 7.1422
_cell_length_c 8.4479
_cell_angle_alpha 115.01
_cell_angle_beta 104.52
_cell_angle_gamma 90.00
loop_
_space_group_symop_operation_xyz
'x,y,z'
loop_
_atom_site_label
_atom_site_type_symbol
_atom_site_fract_x
_atom_site_fract_y
_atom_site_fract_z
_atom_site_occupancy
Al1 Al 0.6586 0.8441 0.3172 1
Al2 Al 0.3414 0.5269 0.6828 1
Al3 Al 0.3414 0.1559 0.6828 1
Al4 Al 0.6586 0.4731 0.3172 1
Ga1 Ga 0.7799 0.2799 0.5598 1
Ga2 Ga 0.5000 0.1800 0.0000 1
Ga3 Ga 0.2201 0.7201 0.4402 1
Ga4 Ga 0.5000 0.8200 0.0000 1
Tb1 Tb 0.1260 0.1260 0.2520 1
Tb2 Tb 0.0000 0.5000 0.0000 1
Tb3 Tb 0.8740 0.8740 0.7480 1
# ΔE_f ... -44.5 kJ per mole of atoms
# Space-group type ... Immm

---

# KHf2Hg, relaxed, DFT PBE
data_KHf2Hg
_space_group_name_H-M_alt 'P 1'
_space_group_IT_number 1
_cell_length_a 4.3013
_cell_length_b 4.3013
_cell_length_c 11.9484
_cell_angle_alpha 79.63
_cell_angle_beta 79.63
_cell_angle_gamma 90.00
loop_
_space_group_symop_operation_xyz
'x,y,z'
loop_
_atom_site_label
_atom_site_type_symbol
_atom_site_fract_x
_atom_site_fract_y
_atom_site_fract_z
_atom_site_occupancy
K1 K 0.5000 0.5000 0.0000 1
K2 K 0.2500 0.7500 0.5000 1
Hg1 Hg 0.7500 0.2500 0.5000 1
Hg2 Hg 0.0000 0.0000 0.0000 1
Hf1 Hf 0.6464 0.1250 0.2500 1
Hf2 Hf 0.3750 0.3536 0.7500 1
Hf3 Hf 0.1036 0.6250 0.2500 1
Hf4 Hf 0.8750 0.8964 0.7500 1
# ΔE_f ... 80.3 kJ per mole of atoms
# Space-group type ... I-42d

---

# Nd2Zn2Rh5Pb, relaxed, DFT PBE
data_Nd2Zn2Rh5Pb
_space_group_name_H-M_alt 'P 1'
_space_group_IT_number 1
_cell_length_a 3.7664
_cell_length_b 9.8273
_cell_length_c 9.8273
_cell_angle_alpha 90.00
_cell_angle_beta 90.00
_cell_angle_gamma 90.00
loop_
_space_group_symop_operation_xyz
'x,y,z'
loop_
_atom_site_label
_atom_site_type_symbol
_atom_site_fract_x
_atom_site_fract_y
_atom_site_fract_z
_atom_site_occupancy
Rh1 Rh 0.5000 0.0000 0.5000 1
Rh2 Rh 0.5000 0.0682 0.7884 1
Rh3 Rh 0.5000 0.5682 0.7116 1
Rh4 Rh 0.5000 0.5000 0.0000 1
Rh5 Rh 0.5000 0.4318 0.2884 1
Rh6 Rh 0.5000 0.9318 0.2116 1
Rh7 Rh 0.5000 0.2116 0.0682 1
Rh8 Rh 0.5000 0.7884 0.9318 1
Rh9 Rh 0.5000 0.2884 0.5682 1
Rh10 Rh 0.5000 0.7116 0.4318 1
Zn1 Zn 0.0000 0.8792 0.3792 1
Zn2 Zn 0.0000 0.3792 0.1208 1
Zn3 Zn 0.0000 0.6208 0.8792 1
Zn4 Zn 0.0000 0.1208 0.6208 1
Nd1 Nd 0.0000 0.3240 0.8240 1
Nd2 Nd 0.0000 0.1760 0.3240 1
Nd3 Nd 0.0000 0.8240 0.6760 1
Nd4 Nd 0.0000 0.6760 0.1760 1
Pb1 Pb 0.0000 0.5000 0.5000 1
Pb2 Pb 0.0000 0.0000 0.0000 1
# ΔE_f ... -50.0 kJ per mole of atoms
# Space-group type ... P4/mbm